Entry from Alexandria via LeMat-Bulk: an optimized crystal structure of La3Dy2Pb4 (GGA-PBE).

Output
VASP energy	-4.830	eV per atom
E_form	-517	meV/atom

```
data_La3Dy2Pb4
_space_group_name_H-M_alt 'P 1'
_space_group_IT_number 1
_cell_length_a 8.7162
_cell_length_b 8.7162
_cell_length_c 7.1185
_cell_angle_alpha 104.04
_cell_angle_beta 104.04
_cell_angle_gamma 34.56
loop_
_space_group_symop_operation_xyz
'x,y,z'
loop_
_atom_site_label
_atom_site_fract_x
_atom_site_fract_y
_atom_site_fract_z
La1 0.0000 0.0000 0.0000
La2 0.1235 0.1235 0.5759
La3 0.8765 0.8765 0.4241
Dy1 0.3362 0.3362 0.9286
Dy2 0.6638 0.6638 0.0714
Pb1 0.2392 0.2392 0.2605
Pb2 0.4952 0.4952 0.7138
Pb3 0.5048 0.5048 0.2862
Pb4 0.7608 0.7608 0.7395
```